The following is a PBE-GGA calculation of Zr2SiPb after structural relaxation, from Alexandria.

Lattice parameters (Å, degrees): 3.939 3.274 6.905 73.61 90.00 90.00
Atoms (fractional coordinates):
Zr (0.000, 0.534, 0.525)
Zr (0.000, 0.966, 0.975)
Si (0.500, 0.750, 0.750)
Pb (0.500, 0.250, 0.250)

Calculated values
Crystal system = monoclinic
Density of states at the Fermi level = 2.71 states/eV per cell
E_tot = -27.5 eV for the cell shown
M_tot = 0.00 μB/f.u.



The following is a PBE-GGA calculation of Tb19Y4Er6 after structural relaxation, from Alexandria.

Lattice parameters (Å, degrees): 10.800 10.800 10.800 109.47 109.47 109.47
Atoms (fractional coordinates):
Tb (0.326, 0.785, 0.985)
Tb (0.263, 0.000, 0.263)
Tb (0.200, 0.215, 0.540)
Tb (0.000, 0.737, 0.737)
Tb (0.540, 0.200, 0.215)
Tb (0.015, 0.800, 0.341)
Tb (0.985, 0.326, 0.785)
Tb (0.674, 0.659, 0.460)
Tb (0.460, 0.674, 0.659)
Tb (0.000, 0.000, 0.000)
Tb (0.263, 0.263, 0.000)
Tb (0.659, 0.460, 0.674)
Tb (0.800, 0.341, 0.015)
Tb (0.000, 0.263, 0.263)
Tb (0.737, 0.000, 0.737)
Tb (0.737, 0.737, 0.000)
Tb (0.341, 0.015, 0.800)
Tb (0.785, 0.985, 0.326)
Tb (0.215, 0.540, 0.200)
Er (0.500, 0.873, 0.373)
Er (0.500, 0.127, 0.627)
Er (0.127, 0.627, 0.500)
Er (0.373, 0.500, 0.873)
Er (0.873, 0.373, 0.500)
Er (0.627, 0.500, 0.127)
Y (0.358, 0.358, 0.358)
Y (0.000, 0.000, 0.642)
Y (0.642, 0.000, 0.000)
Y (0.000, 0.642, 0.000)

Calculated values
DFT formation energy = 11.5 eV per formula unit
Crystal system = cubic
Density of states at the Fermi level = 47.17 states/eV per cell
M_tot = 0.04 μB/f.u.



The following is a PBE-GGA calculation of AgBiTe3 after structural relaxation, from Alexandria.

Lattice parameters (Å, degrees): 5.405 5.405 5.405 90.00 90.00 90.00
Atoms (fractional coordinates):
Te (0.500, 0.000, 0.000)
Te (0.000, 0.000, 0.500)
Te (0.000, 0.500, 0.000)
Ag (0.000, 0.000, 0.000)
Bi (0.500, 0.500, 0.500)

Calculated values
Crystal system = cubic
Density of states at the Fermi level = 4.40 states/eV per cell
E_tot = -14.0 eV for the cell shown
M_tot = 0.00 μB/f.u.



The following is a PBE-GGA calculation of BaZrGa2 after structural relaxation, from Alexandria.

Lattice parameters (Å, degrees): 5.235 5.235 5.235 60.00 60.00 60.00
Atoms (fractional coordinates):
Ba (0.500, 0.500, 0.500)
Ga (0.750, 0.750, 0.750)
Ga (0.250, 0.250, 0.250)
Zr (0.000, 0.000, 0.000)

Calculated values
DFT formation energy = 0.0 eV per formula unit
Crystal system = cubic
Density of states at the Fermi level = 2.49 states/eV per cell
M_tot = 0.00 μB/f.u.



Please write out number 1 again, unchanged.
The following is a PBE-GGA calculation of Zr2SiPb after structural relaxation, from Alexandria.

Lattice parameters (Å, degrees): 3.939 3.274 6.905 73.61 90.00 90.00
Atoms (fractional coordinates):
Zr (0.000, 0.534, 0.525)
Zr (0.000, 0.966, 0.975)
Si (0.500, 0.750, 0.750)
Pb (0.500, 0.250, 0.250)

Calculated values
Crystal system = monoclinic
Density of states at the Fermi level = 2.71 states/eV per cell
E_tot = -27.5 eV for the cell shown
M_tot = 0.00 μB/f.u.



Question: What is the density of states at the Fermi level in the second record?
Answer: 47.17 states/eV per cell



Please write out number 3 again, unchanged.
The following is a PBE-GGA calculation of AgBiTe3 after structural relaxation, from Alexandria.

Lattice parameters (Å, degrees): 5.405 5.405 5.405 90.00 90.00 90.00
Atoms (fractional coordinates):
Te (0.500, 0.000, 0.000)
Te (0.000, 0.000, 0.500)
Te (0.000, 0.500, 0.000)
Ag (0.000, 0.000, 0.000)
Bi (0.500, 0.500, 0.500)

Calculated values
Crystal system = cubic
Density of states at the Fermi level = 4.40 states/eV per cell
E_tot = -14.0 eV for the cell shown
M_tot = 0.00 μB/f.u.